Below is a geometry-optimized BeZnSeO structure, with properties calculated at the GGA-PBE level.

Geometry as POSCAR:
```
BeZnSeO
1.0
3.4140 0.0000 0.0000
0.0000 3.4140 0.0000
0.0000 0.0000 9.4911
Zn Se O Be
2 2 2 2
direct
0.5000 0.5000 0.4005
0.0000 0.0000 0.5995
0.0000 0.0000 0.3258
0.5000 0.5000 0.6742
0.0000 0.0000 0.9603
0.5000 0.5000 0.0397
0.5000 0.0000 0.0000
0.0000 0.5000 0.0000
```

Summary:
DFT total energy = -36.75 eV for the cell shown
space-group type = P4/nmm, No. 129